# 1
Material: Sr2LuBi
Method: DFT, PBE
State: relaxed

The structure belongs to space group F-43m (No. 216); the cell edges are 8.285, 8.285 and 8.285 Å and the angles 90.00°, 90.00° and 90.00°. The distinct sites, in fractional coordinates, are Sr at (0.000, 0.000, 0.000), Sr at (0.250, 0.250, 0.250), Lu at (0.250, 0.250, 0.750) and Bi at (0.000, 0.000, 0.500).

As for the size of the total moment: 0.01 μB/f.u. Its total energy is -3.0515 eV/atom.

# 2
Material: Ac2Al3Zn5
Method: DFT, PBE
State: relaxed

The structure belongs to space group Ibam (No. 72); the cell edges are 10.743, 12.560 and 6.291 Å and the angles 90.00°, 90.00° and 90.00°. The distinct sites, in fractional coordinates, are Ac at (0.242, 0.125, 0.000), Al at (0.000, 0.500, 0.250), Al at (0.122, 0.130, 0.500), Zn at (0.000, 0.000, 0.250), Zn at (0.000, 0.263, 0.250) and Zn at (0.137, 0.378, 0.000).

As for the size of the total moment: 0.01 μB/f.u. Its total energy is -2.9437 eV/atom.

# 3
Material: RbTbCdSe3
Method: DFT, PBE
State: relaxed

The structure belongs to space group C2/m (No. 12); the cell edges are 18.044, 4.270 and 9.412 Å and the angles 90.00°, 103.05° and 90.00°. The distinct sites, in fractional coordinates, are Rb at (0.146, 0.000, 0.065), Tb at (0.171, 0.000, 0.581), Cd at (0.007, 0.500, 0.719), Se at (0.000, 0.000, 0.500), Se at (0.000, 0.500, 0.000), Se at (0.163, 0.500, 0.779) and Se at (0.166, 0.500, 0.370).

As for the size of the total moment: 0.00 μB/f.u. Its total energy is -4.0929 eV/atom.

# 4
Material: NaGdHgO3
Method: DFT, PBE
State: relaxed

The structure belongs to space group Cmcm (No. 63); the cell edges are 3.627, 12.136 and 8.855 Å and the angles 90.00°, 90.00° and 90.00°. The distinct sites, in fractional coordinates, are Na at (0.000, 0.154, 0.250), Gd at (0.000, 0.500, 0.000), Hg at (0.000, 0.135, 0.750), O at (0.000, 0.123, 0.521) and O at (0.000, 0.465, 0.750).

As for the size of the total moment: 0.00 μB/f.u. Its total energy is -5.3494 eV/atom.

# 5
Material: Dy2YZn3AgHg2
Method: DFT, PBE
State: relaxed

The structure belongs to space group Amm2 (No. 38); the cell edges are 4.034, 13.056 and 7.536 Å and the angles 90.00°, 90.00° and 90.00°. The distinct sites, in fractional coordinates, are Dy at (0.000, 0.202, 0.000), Y at (0.000, 0.000, 0.606), Zn at (0.500, 0.000, 0.955), Zn at (0.500, 0.123, 0.325), Ag at (0.000, 0.000, 0.201) and Hg at (0.500, 0.167, 0.702).

As for the size of the total moment: 0.01 μB/f.u. The formation enthalpy at 0 K comes out at -35.7 kJ/mol of atoms.

# 6
Material: LuCd2Ge
Method: DFT, PBE
State: relaxed

The structure belongs to space group F-43m (No. 216); the cell edges are 7.084, 7.084 and 7.084 Å and the angles 90.00°, 90.00° and 90.00°. The distinct sites, in fractional coordinates, are Lu at (0.000, 0.000, 0.000), Cd at (0.000, 0.000, 0.500), Cd at (0.250, 0.250, 0.250) and Ge at (0.250, 0.250, 0.750).

As for the size of the total moment: 0.00 μB/f.u. Its total energy is -2.8881 eV/atom.